# 1
The following is a PBE calculation of crystalline HoTl3Te2O9 at its relaxed geometry, from Alexandria.

The formation energy (no corrections) is -18.9 eV/f.u.

Structure (CIF):
```
data_HoTl3Te2O9
_space_group_name_H-M_alt 'P -3 m 1'
_space_group_IT_number 164
_space_group_name_Hall '-P 3 2"'
_cell_length_a 5.9163
_cell_length_b 5.9163
_cell_length_c 7.2776
_cell_angle_alpha 90.00
_cell_angle_beta 90.00
_cell_angle_gamma 120.00
loop_
_atom_site_label
_atom_site_fract_x
_atom_site_fract_y
_atom_site_fract_z
_atom_site_occupancy
Ho1 0.0000 0.0000 0.0000 1
Tl1 0.0000 0.0000 0.5000 1
Tl2 0.3333 0.6667 0.1683 1
Te1 0.3333 0.6667 0.6687 1
O1 0.0000 0.5000 0.5000 1
O2 0.1769 0.3538 0.8151 1
```

# 2
The following is a PBE calculation of crystalline MgMn4Cd at its relaxed geometry, from Alexandria.

For the formation energy from the elements, the calculation gives 33 kJ/mol of atoms.

Structure (CIF):
```
data_MgMn4Cd
_space_group_name_H-M_alt 'F -4 3 m'
_space_group_IT_number 216
_space_group_name_Hall 'F -4 2 3'
_cell_length_a 6.977
_cell_length_b 6.977
_cell_length_c 6.977
_cell_angle_alpha 90.00
_cell_angle_beta 90.00
_cell_angle_gamma 90.00
loop_
_atom_site_label
_atom_site_fract_x
_atom_site_fract_y
_atom_site_fract_z
_atom_site_occupancy
Mg1 0.000 0.000 0.000 1
Mn1 0.126 0.126 0.374 1
Cd1 0.250 0.250 0.750 1
```

# 3
The following is a PBE calculation of crystalline Mg2VCuW at its relaxed geometry, from Alexandria.

For the formation energy from the elements, the calculation gives 132 kJ/mol of atoms. Its energy above the most stable polymorph in this dataset is 0.00 eV/f.u.

Structure (CIF):
```
data_Mg2VCuW
_space_group_name_H-M_alt 'P 4/m m m'
_space_group_IT_number 123
_space_group_name_Hall '-P 4 2'
_cell_length_a 5.038
_cell_length_b 5.038
_cell_length_c 4.353
_cell_angle_alpha 90.00
_cell_angle_beta 90.00
_cell_angle_gamma 90.00
loop_
_atom_site_label
_atom_site_fract_x
_atom_site_fract_y
_atom_site_fract_z
_atom_site_occupancy
Mg1 0.000 0.500 0.000 1
V1 0.000 0.000 0.000 1
Cu1 0.500 0.500 0.500 1
W1 0.000 0.000 0.500 1
```